DFT (SCAN) results for a PBEsol-optimized structure of InGe2O2.

N(E_F) = 2.1 states/eV/f.u.
raw formation energy = -205 meV/atom
total magnetization = 0.00 μB/f.u.
symmetry = I4/mmm (139)

Cell lengths 4.3314, 4.3314, 5.6700 Å; angles 112.45, 112.45, 90.00 degrees
Fractional coordinates of all 5 atoms:
Ge 0.2500 0.7500 0.5000
Ge 0.7500 0.2500 0.5000
O 0.2847 0.2847 0.5694
O 0.7153 0.7153 0.4306
In 0.0000 0.0000 0.0000

DFT (SCAN) results for a PBEsol-optimized structure of Ag2Cl.

raw formation energy = -287 meV/atom
total magnetization = 0.00 μB/f.u.
symmetry = C2/m (12)
E above lowest polymorph = 0.000 eV per atom

Cell lengths 3.6777, 5.8481, 6.6251 Å; angles 113.15, 106.11, 90.00 degrees
Fractional coordinates of all 6 atoms:
Cl 0.3184 0.7913 0.6369
Cl 0.6816 0.2087 0.3631
Ag 0.4250 0.2482 0.8499
Ag 0.8994 0.5690 0.7987
Ag 0.1006 0.4310 0.2013
Ag 0.5750 0.7518 0.1501

DFT (SCAN) results for a PBEsol-optimized structure of AlV6Sb.

N(E_F) = 9.8 states/eV/f.u.
raw formation energy = -217 meV/atom
total magnetization = 1.86 μB/f.u.
symmetry = Pm-3 (200)

Cell lengths 4.8796, 4.8796, 4.8796 Å; angles 90.00, 90.00, 90.00 degrees
Fractional coordinates of all 8 atoms:
Sb 0.0000 0.0000 0.0000
V 0.0000 0.5000 0.7386
V 0.5000 0.7386 0.0000
V 0.7386 0.0000 0.5000
V 0.2614 0.0000 0.5000
V 0.0000 0.5000 0.2614
V 0.5000 0.2614 0.0000
Al 0.5000 0.5000 0.5000

DFT (SCAN) results for a PBEsol-optimized structure of TlMoW2.

N(E_F) = 1.5 states/eV/f.u.
ΔE_f = 3.0 eV/f.u.
total magnetization = 0.00 μB/f.u.
symmetry = I4/mmm (139)

Cell lengths 3.9843, 3.9843, 5.0579 Å; angles 113.20, 113.20, 90.00 degrees
Fractional coordinates of all 4 atoms:
W 0.7500 0.2500 0.5000
W 0.2500 0.7500 0.5000
Mo 0.5000 0.5000 0.0000
Tl 0.0000 0.0000 0.0000

DFT (SCAN) results for a PBEsol-optimized structure of LaBeRh.

N(E_F) = 1.0 states/eV/f.u.
ΔE_f = -1.8 eV/f.u.
total magnetization = 0.00 μB/f.u.
symmetry = P-6m2 (187)

Cell lengths 3.9428, 3.9428, 4.2062 Å; angles 90.00, 90.00, 120.00 degrees
Fractional coordinates of all 3 atoms:
La 0.3333 0.6667 0.0000
Be 0.0000 0.0000 0.5000
Rh 0.6667 0.3333 0.5000

DFT (SCAN) results for a PBEsol-optimized structure of AlAsPb.

N(E_F) = 0.7 states/eV/f.u.
ΔE_f = 1.4 eV/f.u.
total magnetization = 0.00 μB/f.u.
symmetry = F-43m (216)
E above lowest polymorph = 0.556 eV per atom

Cell lengths 4.8716, 4.8716, 4.8716 Å; angles 60.00, 60.00, 60.00 degrees
Fractional coordinates of all 3 atoms:
As 0.5000 0.5000 0.5000
Al 0.0000 0.0000 0.0000
Pb 0.2500 0.2500 0.2500

DFT (SCAN) results for a PBEsol-optimized structure of Ge3Pt2.

N(E_F) = 1.1 states/eV/f.u.
ΔE_f = -2.7 eV/f.u.
total magnetization = 0.00 μB/f.u.
symmetry = Pnma (62)

Cell lengths 3.3907, 6.2112, 16.3958 Å; angles 90.00, 90.00, 90.00 degrees
Fractional coordinates of all 20 atoms:
Ge 0.7500 0.4114 0.3869
Ge 0.2500 0.5886 0.6131
Ge 0.2500 0.9114 0.1131
Ge 0.7500 0.0582 0.5707
Ge 0.2500 0.6557 0.2316
Ge 0.7500 0.3443 0.7684
Ge 0.7500 0.1557 0.2684
Ge 0.2500 0.8443 0.7316
Ge 0.2500 0.5582 0.9293
Ge 0.7500 0.4418 0.0707
Ge 0.2500 0.9418 0.4293
Ge 0.7500 0.0886 0.8869
Pt 0.7500 0.8063 0.0062
Pt 0.2500 0.1937 0.9938
Pt 0.7500 0.7086 0.8301
Pt 0.7500 0.7914 0.3301
Pt 0.2500 0.3063 0.4938
Pt 0.7500 0.6937 0.5062
Pt 0.2500 0.2914 0.1699
Pt 0.2500 0.2086 0.6699

DFT (SCAN) results for a PBEsol-optimized structure of LiLu2Ga.

N(E_F) = 2.2 states/eV/f.u.
ΔE_f = -1.3 eV/f.u.
total magnetization = 0.00 μB/f.u.
symmetry = Fm-3m (225)

Cell lengths 4.9072, 4.9072, 4.9072 Å; angles 60.00, 60.00, 60.00 degrees
Fractional coordinates of all 4 atoms:
Li 0.5000 0.5000 0.5000
Lu 0.2500 0.2500 0.2500
Lu 0.7500 0.7500 0.7500
Ga 0.0000 0.0000 0.0000

DFT (SCAN) results for a PBEsol-optimized structure of Ti20Sb9Se3.

N(E_F) = 25.0 states/eV/f.u.
raw formation energy = -672 meV/atom
total magnetization = 0.00 μB/f.u.
symmetry = Pmn2_1 (31)

Cell lengths 6.8744, 9.9628, 16.4625 Å; angles 90.00, 90.00, 90.00 degrees
Fractional coordinates of all 64 atoms:
Se 0.6613 0.9785 0.2531
Se 0.3387 0.4785 0.7531
Se 0.3387 0.4785 0.2469
Se 0.1615 0.5259 0.0000
Se 0.8385 0.0259 0.5000
Se 0.6613 0.9785 0.7469
Ti 0.4374 0.4477 0.9026
Ti 0.2788 0.0042 0.2513
Ti 0.9464 0.7576 0.0000
Ti 0.4461 0.4489 0.6053
Ti 0.0536 0.2576 0.5000
Ti 0.9074 0.7915 0.2519
Ti 0.5766 0.2208 0.0000
Ti 0.0603 0.5525 0.6593
Ti 0.2221 0.9962 0.5000
Ti 0.0926 0.2915 0.7519
Ti 0.9405 0.0505 0.3489
Ti 0.0595 0.5505 0.8489
Ti 0.4461 0.4489 0.3947
Ti 0.4234 0.7208 0.5000
Ti 0.4374 0.4477 0.0974
Ti 0.5626 0.9477 0.4026
Ti 0.4281 0.7255 0.2511
Ti 0.7613 0.4902 0.5000
Ti 0.9397 0.0525 0.1593
Ti 0.5539 0.9489 0.8947
Ti 0.9074 0.7915 0.7481
Ti 0.5719 0.2255 0.7511
Ti 0.7779 0.4962 0.0000
Ti 0.0603 0.5525 0.3407
Ti 0.5915 0.2104 0.5000
Ti 0.4281 0.7255 0.7489
Ti 0.4085 0.7104 0.0000
Ti 0.7212 0.5042 0.2487
Ti 0.5539 0.9489 0.1053
Ti 0.5719 0.2255 0.2489
Ti 0.9397 0.0525 0.8407
Ti 0.7212 0.5042 0.7513
Ti 0.5626 0.9477 0.5974
Ti 0.0728 0.2759 0.0000
Ti 0.9405 0.0505 0.6511
Ti 0.0595 0.5505 0.1511
Ti 0.9272 0.7759 0.5000
Ti 0.2788 0.0042 0.7487
Ti 0.0926 0.2915 0.2481
Ti 0.2387 0.9902 0.0000
Sb 0.3122 0.1768 0.8789
Sb 0.3154 0.1796 0.6203
Sb 0.8143 0.3223 0.1290
Sb 0.8164 0.3218 0.6317
Sb 0.8164 0.3218 0.3683
Sb 0.1857 0.8223 0.6290
Sb 0.6878 0.6768 0.6211
Sb 0.6878 0.6768 0.3789
Sb 0.1585 0.5234 0.5000
Sb 0.3122 0.1768 0.1211
Sb 0.6846 0.6796 0.8797
Sb 0.1836 0.8218 0.8683
Sb 0.1857 0.8223 0.3710
Sb 0.1836 0.8218 0.1317
Sb 0.8143 0.3223 0.8710
Sb 0.6846 0.6796 0.1203
Sb 0.3154 0.1796 0.3797
Sb 0.8415 0.0234 0.0000

DFT (SCAN) results for a PBEsol-optimized structure of CsAu3S.

N(E_F) = 1.9 states/eV/f.u.
raw formation energy = 17 meV/atom
total magnetization = 0.00 μB/f.u.
symmetry = Pm-3m (221)

Cell lengths 5.0010, 5.0010, 5.0010 Å; angles 90.00, 90.00, 90.00 degrees
Fractional coordinates of all 5 atoms:
Au 0.5000 0.0000 0.0000
Au 0.0000 0.0000 0.5000
Au 0.0000 0.5000 0.0000
Cs 0.5000 0.5000 0.5000
S 0.0000 0.0000 0.0000

DFT (SCAN) results for a PBEsol-optimized structure of CdSiRu2.

N(E_F) = 3.6 states/eV/f.u.
raw formation energy = 166 meV/atom
total magnetization = 0.00 μB/f.u.
symmetry = Pmm2 (25)

Cell lengths 2.7802, 3.5624, 6.0718 Å; angles 90.00, 90.00, 90.00 degrees
Fractional coordinates of all 4 atoms:
Ru 0.5000 0.5000 0.2762
Ru 0.0000 0.0000 0.0316
Cd 0.5000 0.5000 0.7576
Si 0.0000 0.0000 0.4346

DFT (SCAN) results for a PBEsol-optimized structure of BaHg2Os.

N(E_F) = 1.5 states/eV/f.u.
ΔE_f = 2.6 eV/f.u.
total magnetization = 0.00 μB/f.u.
symmetry = Fm-3m (225)
E above lowest polymorph = 0.000 eV per atom

Cell lengths 5.1125, 5.1125, 5.1125 Å; angles 60.00, 60.00, 60.00 degrees
Fractional coordinates of all 4 atoms:
Hg 0.2500 0.2500 0.2500
Hg 0.7500 0.7500 0.7500
Os 0.5000 0.5000 0.5000
Ba 0.0000 0.0000 0.0000

DFT (SCAN) results for a PBEsol-optimized structure of ZrSb2Ir.

N(E_F) = 2.2 states/eV/f.u.
raw formation energy = -130 meV/atom
total magnetization = 0.00 μB/f.u.
symmetry = C2/m (12)
E above lowest polymorph = 0.257 eV per atom

Cell lengths 3.1173, 5.1830, 5.6402 Å; angles 109.81, 90.00, 107.50 degrees
Fractional coordinates of all 4 atoms:
Zr 0.5000 0.0000 0.0000
Sb 0.2749 0.5498 0.2528
Sb 0.7251 0.4502 0.7472
Ir 0.0000 0.0000 0.5000

DFT (SCAN) results for a PBEsol-optimized structure of KZnIr.

N(E_F) = 1.8 states/eV/f.u.
ΔE_f = 1.9 eV/f.u.
total magnetization = 0.00 μB/f.u.
symmetry = P-6m2 (187)
E above lowest polymorph = 0.147 eV per atom

Cell lengths 2.6223, 4.9559, 4.9559 Å; angles 120.00, 90.00, 90.00 degrees
Fractional coordinates of all 3 atoms:
K 0.0000 0.3333 0.6667
Ir 0.5000 0.0000 0.0000
Zn 0.5000 0.6667 0.3333

DFT (SCAN) results for a PBEsol-optimized structure of CaNi2SnI.

N(E_F) = 3.0 states/eV/f.u.
raw formation energy = 543 meV/atom
total magnetization = 0.00 μB/f.u.
symmetry = P4/mmm (123)

Cell lengths 4.6544, 4.6544, 5.6101 Å; angles 90.00, 90.00, 90.00 degrees
Fractional coordinates of all 5 atoms:
Ni 0.5000 0.0000 0.0000
Ni 0.0000 0.5000 0.0000
Sn 0.5000 0.5000 0.5000
I 0.0000 0.0000 0.0000
Ca 0.0000 0.0000 0.5000

DFT (SCAN) results for a PBEsol-optimized structure of RbMg2H.

N(E_F) = 0.6 states/eV/f.u.
total magnetization = 0.00 μB/f.u.
symmetry = Fd-3m (227)
total DFT energy (no corrections) = -33.26 eV/f.u.

Cell lengths 6.8352, 6.8352, 6.8352 Å; angles 60.00, 60.00, 60.00 degrees
Fractional coordinates of all 8 atoms:
H 0.2500 0.2500 0.2500
H 0.0000 0.0000 0.0000
Mg 0.1250 0.1250 0.1250
Mg 0.1250 0.1250 0.6250
Mg 0.1250 0.6250 0.1250
Mg 0.6250 0.1250 0.1250
Rb 0.5000 0.5000 0.5000
Rb 0.7500 0.7500 0.7500

DFT (SCAN) results for a PBEsol-optimized structure of Ti2BSbSe.

N(E_F) = 5.3 states/eV/f.u.
raw formation energy = 1242 meV/atom
total magnetization = 0.00 μB/f.u.
symmetry = P4/mmm (123)

Cell lengths 4.6150, 4.6150, 5.3074 Å; angles 90.00, 90.00, 90.00 degrees
Fractional coordinates of all 5 atoms:
Sb 0.0000 0.0000 0.5000
Se 0.0000 0.0000 0.0000
B 0.5000 0.5000 0.5000
Ti 0.5000 0.0000 0.0000
Ti 0.0000 0.5000 0.0000

DFT (SCAN) results for a PBEsol-optimized structure of Sc2ReP.

N(E_F) = 2.0 states/eV/f.u.
ΔE_f = -1.6 eV/f.u.
total magnetization = 0.00 μB/f.u.
symmetry = R-3m (166)

Cell lengths 3.2667, 3.2667, 7.7319 Å; angles 77.80, 77.80, 60.00 degrees
Fractional coordinates of all 4 atoms:
P 0.5000 0.5000 0.5000
Sc 0.2446 0.2446 0.2661
Sc 0.7554 0.7554 0.7339
Re 0.0000 0.0000 0.0000

DFT (SCAN) results for a PBEsol-optimized structure of LiMnTc.

N(E_F) = 1.8 states/eV/f.u.
ΔE_f = 0.6 eV/f.u.
total magnetization = 4.05 μB/f.u.
symmetry = I4mm (107)

Cell lengths 2.5201, 2.5201, 6.6869 Å; angles 100.86, 100.86, 90.00 degrees
Fractional coordinates of all 3 atoms:
Li 0.0010 0.0010 0.0020
Tc 0.3263 0.3263 0.6526
Mn 0.6727 0.6727 0.3454

DFT (SCAN) results for a PBEsol-optimized structure of BaBe7.

N(E_F) = 2.5 states/eV/f.u.
ΔE_f = 9.7 eV/f.u.
total magnetization = 0.00 μB/f.u.
symmetry = Fm-3m (225)

Cell lengths 5.2186, 5.2186, 5.2186 Å; angles 60.00, 60.00, 60.00 degrees
Fractional coordinates of all 8 atoms:
Be 0.0000 0.5000 0.0000
Be 0.5000 0.5000 0.5000
Be 0.5000 0.0000 0.5000
Be 0.5000 0.5000 0.0000
Be 0.5000 0.0000 0.0000
Be 0.0000 0.0000 0.5000
Be 0.0000 0.5000 0.5000
Ba 0.0000 0.0000 0.0000

DFT (SCAN) results for a PBEsol-optimized structure of MnNiS2N.

N(E_F) = 2.2 states/eV/f.u.
raw formation energy = 403 meV/atom
total magnetization = 0.03 μB/f.u.
symmetry = P4/mmm (123)

Cell lengths 3.3510, 4.5017, 4.5017 Å; angles 90.00, 90.00, 90.00 degrees
Fractional coordinates of all 5 atoms:
N 0.5000 0.0000 0.0000
S 0.0000 0.5000 0.0000
S 0.0000 0.0000 0.5000
Ni 0.5000 0.5000 0.5000
Mn 0.0000 0.0000 0.0000

DFT (SCAN) results for a PBEsol-optimized structure of NaIn2Pt2.

N(E_F) = 2.1 states/eV/f.u.
ΔE_f = -2.3 eV/f.u.
total magnetization = 0.00 μB/f.u.
symmetry = I4/mmm (139)
E above lowest polymorph = 0.084 eV per atom

Cell lengths 4.4232, 4.4232, 6.3939 Å; angles 110.24, 110.24, 90.00 degrees
Fractional coordinates of all 5 atoms:
In 0.2500 0.7500 0.5000
In 0.7500 0.2500 0.5000
Na 0.0000 0.0000 0.0000
Pt 0.3868 0.3868 0.7736
Pt 0.6132 0.6132 0.2264

DFT (SCAN) results for a PBEsol-optimized structure of CuPt2W.

N(E_F) = 2.0 states/eV/f.u.
ΔE_f = -1.2 eV/f.u.
total magnetization = 0.00 μB/f.u.
symmetry = P4/mmm (123)
E above lowest polymorph = 0.000 eV per atom

Cell lengths 2.7645, 2.7645, 7.4181 Å; angles 90.00, 90.00, 90.00 degrees
Fractional coordinates of all 4 atoms:
W 0.5000 0.5000 0.0000
Pt 0.0000 0.0000 0.7434
Pt 0.0000 0.0000 0.2566
Cu 0.5000 0.5000 0.5000

DFT (SCAN) results for a PBEsol-optimized structure of Li2CdCl.

N(E_F) = 1.3 states/eV/f.u.
raw formation energy = -518 meV/atom
total magnetization = 0.00 μB/f.u.
symmetry = Fm-3m (225)

Cell lengths 4.8701, 4.8701, 4.8701 Å; angles 60.00, 60.00, 60.00 degrees
Fractional coordinates of all 4 atoms:
Li 0.2500 0.2500 0.2500
Li 0.7500 0.7500 0.7500
Cl 0.0000 0.0000 0.0000
Cd 0.5000 0.5000 0.5000

DFT (SCAN) results for a PBEsol-optimized structure of BeSiCl2.

N(E_F) = 1.6 states/eV/f.u.
raw formation energy = 683 meV/atom
total magnetization = 0.00 μB/f.u.
symmetry = I4/mmm (139)
E above lowest polymorph = 0.988 eV per atom

Cell lengths 4.3101, 4.7348, 4.3101 Å; angles 62.93, 90.00, 117.07 degrees
Fractional coordinates of all 4 atoms:
Cl 0.2500 0.5000 0.2500
Cl 0.7500 0.5000 0.7500
Be 0.0000 0.0000 0.0000
Si 0.5000 0.0000 0.5000